# PBEsol Ho8Al3Ge9, relaxed
data_Ho8Al3Ge9
_symmetry_space_group_name_H-M 'C 1 2/m 1'
_symmetry_Int_Tables_number 12
_symmetry_space_group_name_Hall '-C 2y'
_cell_length_a 10.3749
_cell_length_b 4.0348
_cell_length_c 19.8088
_cell_angle_alpha 90.00
_cell_angle_beta 99.99
_cell_angle_gamma 90.00
loop_
_atom_site_label
_atom_site_type_symbol
_atom_site_fract_x
_atom_site_fract_y
_atom_site_fract_z
_atom_site_occupancy
Ho1 Ho 0.0192 0.0000 0.1796 1
Ho2 Ho 0.0420 0.5000 0.6770 1
Ho3 Ho 0.1973 0.5000 0.0707 1
Ho4 Ho 0.2195 0.0000 0.5716 1
Al1 Al 0.0000 0.5000 0.5000 1
Al2 Al 0.2395 0.5000 0.2526 1
Ge1 Ge 0.0000 0.0000 0.0000 1
Ge2 Ge 0.0674 0.0000 0.4294 1
Ge3 Ge 0.0873 0.5000 0.9241 1
Ge4 Ge 0.1696 0.0000 0.3225 1
Ge5 Ge 0.1958 0.5000 0.8188 1
# * formation energy from the elements: -791 meV per atom
# * total magnetic moment: 0.00 Bohr magnetons per cell

***

# PBEsol La3ZnCl, relaxed
data_La3ZnCl
_symmetry_space_group_name_H-M 'P m -3 m'
_symmetry_Int_Tables_number 221
_symmetry_space_group_name_Hall '-P 4 2 3'
_cell_length_a 5.3538
_cell_length_b 5.3538
_cell_length_c 5.3538
_cell_angle_alpha 90.00
_cell_angle_beta 90.00
_cell_angle_gamma 90.00
loop_
_atom_site_label
_atom_site_type_symbol
_atom_site_fract_x
_atom_site_fract_y
_atom_site_fract_z
_atom_site_occupancy
La1 La 0.0000 0.0000 0.5000 1
Zn1 Zn 0.5000 0.5000 0.5000 1
Cl1 Cl 0.0000 0.0000 0.0000 1
# * formation energy from raw total energies: -472 meV per atom
# * total magnetic moment: 0.00 Bohr magnetons per cell

***

# PBEsol LiCuS, relaxed
data_LiCuS
_symmetry_space_group_name_H-M 'P n m a'
_symmetry_Int_Tables_number 62
_symmetry_space_group_name_Hall '-P 2ac 2n'
_cell_length_a 6.2482
_cell_length_b 3.6798
_cell_length_c 6.8785
_cell_angle_alpha 90.00
_cell_angle_beta 90.00
_cell_angle_gamma 90.00
loop_
_atom_site_label
_atom_site_type_symbol
_atom_site_fract_x
_atom_site_fract_y
_atom_site_fract_z
_atom_site_occupancy
Li1 Li 0.0325 0.2500 0.1715 1
Cu1 Cu 0.1321 0.2500 0.5590 1
S1 S 0.2470 0.7500 0.3764 1
# * formation energy from raw total energies: -775 meV per atom
# * total magnetic moment: 0.00 Bohr magnetons per cell

***

# PBEsol SrCrIr2, relaxed
data_SrCrIr2
_symmetry_space_group_name_H-M 'P m m m'
_symmetry_Int_Tables_number 47
_symmetry_space_group_name_Hall '-P 2 2'
_cell_length_a 2.9615
_cell_length_b 4.7303
_cell_length_c 4.8460
_cell_angle_alpha 90.00
_cell_angle_beta 90.00
_cell_angle_gamma 90.00
loop_
_atom_site_label
_atom_site_type_symbol
_atom_site_fract_x
_atom_site_fract_y
_atom_site_fract_z
_atom_site_occupancy
Sr1 Sr 0.0000 0.0000 0.0000 1
Cr1 Cr 0.5000 0.0000 0.5000 1
Ir1 Ir 0.0000 0.5000 0.5000 1
Ir2 Ir 0.5000 0.5000 0.0000 1
# * formation energy from the elements: 689 meV per atom
# * distance to the lowest polymorph of the same formula: 586.0 meV/atom
# * total magnetic moment: 3.99 Bohr magnetons per cell

***

# PBEsol YAs2Ir, relaxed
data_YAs2Ir
_symmetry_space_group_name_H-M 'R 3 m'
_symmetry_Int_Tables_number 160
_symmetry_space_group_name_Hall 'R 3 -2"'
_cell_length_a 3.6775
_cell_length_b 3.6775
_cell_length_c 21.9995
_cell_angle_alpha 90.00
_cell_angle_beta 90.00
_cell_angle_gamma 120.00
loop_
_atom_site_label
_atom_site_type_symbol
_atom_site_fract_x
_atom_site_fract_y
_atom_site_fract_z
_atom_site_occupancy
Y1 Y 0.0000 0.0000 0.0000 1
As1 As 0.0000 0.0000 0.5251 1
As2 As 0.0000 0.0000 0.7569 1
Ir1 Ir 0.0000 0.0000 0.2430 1
# * formation energy from the elements: -189 meV per atom
# * distance to the lowest polymorph of the same formula: 647.1 meV/atom
# * total magnetic moment: 0.00 Bohr magnetons per cell

***

# PBEsol TaMn2Cl, relaxed
data_TaMn2Cl
_symmetry_space_group_name_H-M 'P m m m'
_symmetry_Int_Tables_number 47
_symmetry_space_group_name_Hall '-P 2 2'
_cell_length_a 2.8840
_cell_length_b 4.2638
_cell_length_c 4.4070
_cell_angle_alpha 90.00
_cell_angle_beta 90.00
_cell_angle_gamma 90.00
loop_
_atom_site_label
_atom_site_type_symbol
_atom_site_fract_x
_atom_site_fract_y
_atom_site_fract_z
_atom_site_occupancy
Ta1 Ta 0.0000 0.0000 0.0000 1
Mn1 Mn 0.0000 0.5000 0.5000 1
Mn2 Mn 0.5000 0.5000 0.0000 1
Cl1 Cl 0.5000 0.0000 0.5000 1
# * distance to the lowest polymorph of the same formula: 479.5 meV/atom
# * formation energy from raw total energies: 570 meV per atom
# * total magnetic moment: 3.50 Bohr magnetons per cell

***

# PBEsol BaCaCd4, relaxed
data_BaCaCd4
_symmetry_space_group_name_H-M 'F -4 3 m'
_symmetry_Int_Tables_number 216
_symmetry_space_group_name_Hall 'F -4 2 3'
_cell_length_a 8.5974
_cell_length_b 8.5974
_cell_length_c 8.5974
_cell_angle_alpha 90.00
_cell_angle_beta 90.00
_cell_angle_gamma 90.00
loop_
_atom_site_label
_atom_site_type_symbol
_atom_site_fract_x
_atom_site_fract_y
_atom_site_fract_z
_atom_site_occupancy
Ba1 Ba 0.0000 0.0000 0.0000 1
Ca1 Ca 0.2500 0.2500 0.2500 1
Cd1 Cd 0.1247 0.1247 0.6247 1
# * formation energy from the elements: -307 meV per atom
# * total magnetic moment: 0.00 Bohr magnetons per cell

***

# PBEsol Tc8W, relaxed
data_Tc8W
_symmetry_space_group_name_H-M 'I 4/m m m'
_symmetry_Int_Tables_number 139
_symmetry_space_group_name_Hall '-I 4 2'
_cell_length_a 8.1663
_cell_length_b 8.1663
_cell_length_c 3.8421
_cell_angle_alpha 90.00
_cell_angle_beta 90.00
_cell_angle_gamma 90.00
loop_
_atom_site_label
_atom_site_type_symbol
_atom_site_fract_x
_atom_site_fract_y
_atom_site_fract_z
_atom_site_occupancy
Tc1 Tc 0.0000 0.3379 0.0000 1
Tc2 Tc 0.1710 0.1710 0.5000 1
W1 W 0.0000 0.0000 0.0000 1
# * formation energy from the elements: 90 meV per atom
# * total magnetic moment: 0.00 Bohr magnetons per cell

***

# PBEsol Cs2K2Hg, relaxed
data_Cs2K2Hg
_symmetry_space_group_name_H-M 'P 4/m b m'
_symmetry_Int_Tables_number 127
_symmetry_space_group_name_Hall '-P 4 2ab'
_cell_length_a 9.3677
_cell_length_b 9.3677
_cell_length_c 7.5495
_cell_angle_alpha 90.00
_cell_angle_beta 90.00
_cell_angle_gamma 90.00
loop_
_atom_site_label
_atom_site_type_symbol
_atom_site_fract_x
_atom_site_fract_y
_atom_site_fract_z
_atom_site_occupancy
Cs1 Cs 0.1855 0.3145 0.0000 1
K1 K 0.1600 0.6600 0.5000 1
Hg1 Hg 0.0000 0.0000 0.5000 1
# * formation energy from the elements: 3 meV per atom
# * total magnetic moment: 0.00 Bohr magnetons per cell

***

# PBEsol Er2Se3O9, relaxed
data_Er2Se3O9
_symmetry_space_group_name_H-M 'P -1'
_symmetry_Int_Tables_number 2
_symmetry_space_group_name_Hall '-P 1'
_cell_length_a 6.9371
_cell_length_b 7.9192
_cell_length_c 8.7918
_cell_angle_alpha 71.84
_cell_angle_beta 70.60
_cell_angle_gamma 66.50
loop_
_atom_site_label
_atom_site_type_symbol
_atom_site_fract_x
_atom_site_fract_y
_atom_site_fract_z
_atom_site_occupancy
Er1 Er 0.1680 0.2722 0.4115 1
Er2 Er 0.2446 0.7357 0.7930 1
Se1 Se 0.0714 0.2234 0.8070 1
Se2 Se 0.3526 0.2471 0.0347 1
Se3 Se 0.3833 0.7590 0.4061 1
O1 O 0.0174 0.5921 0.3501 1
O2 O 0.0888 0.2889 0.1513 1
O3 O 0.1438 0.0558 0.6914 1
O4 O 0.1496 0.7546 0.5596 1
O5 O 0.1566 0.7962 0.0481 1
O6 O 0.3311 0.4325 0.8740 1
O7 O 0.3497 0.9900 0.3380 1
O8 O 0.4309 0.3124 0.1689 1
O9 O 0.4650 0.3010 0.4497 1
# * formation energy from raw total energies: -1921 meV per atom
# * total magnetic moment: 0.00 Bohr magnetons per cell

***

# PBEsol Sr3SiTe, relaxed
data_Sr3SiTe
_symmetry_space_group_name_H-M 'P m -3 m'
_symmetry_Int_Tables_number 221
_symmetry_space_group_name_Hall '-P 4 2 3'
_cell_length_a 5.8624
_cell_length_b 5.8624
_cell_length_c 5.8624
_cell_angle_alpha 90.00
_cell_angle_beta 90.00
_cell_angle_gamma 90.00
loop_
_atom_site_label
_atom_site_type_symbol
_atom_site_fract_x
_atom_site_fract_y
_atom_site_fract_z
_atom_site_occupancy
Sr1 Sr 0.0000 0.0000 0.5000 1
Si1 Si 0.0000 0.0000 0.0000 1
Te1 Te 0.5000 0.5000 0.5000 1
# * distance to the lowest polymorph of the same formula: 0.0 meV/atom
# * formation energy from raw total energies: -583 meV per atom
# * total magnetic moment: 0.00 Bohr magnetons per cell

***

# PBEsol Ba3TaIn, relaxed
data_Ba3TaIn
_symmetry_space_group_name_H-M 'P m -3 m'
_symmetry_Int_Tables_number 221
_symmetry_space_group_name_Hall '-P 4 2 3'
_cell_length_a 5.9788
_cell_length_b 5.9788
_cell_length_c 5.9788
_cell_angle_alpha 90.00
_cell_angle_beta 90.00
_cell_angle_gamma 90.00
loop_
_atom_site_label
_atom_site_type_symbol
_atom_site_fract_x
_atom_site_fract_y
_atom_site_fract_z
_atom_site_occupancy
Ba1 Ba 0.0000 0.0000 0.5000 1
Ta1 Ta 0.0000 0.0000 0.0000 1
In1 In 0.5000 0.5000 0.5000 1
# * formation energy from the elements: 821 meV per atom
# * distance to the lowest polymorph of the same formula: 0.0 meV/atom
# * total magnetic moment: 0.00 Bohr magnetons per cell